Record 1
BaAlIn2 | meta-GGA SCAN | PBEsol geometry

Unit cell a=4.7957 b=4.7957 c=4.8568 alpha=90.00 beta=90.00 gamma=90.00
Closest atoms and distances in Å follow each position.
Atoms (fractional coordinates):
Ba 0.0000 0.0000 0.0000  4 Al 3.39, 8 In 3.41
Al 0.5000 0.5000 0.0000  4 Ba 3.39, 8 In 3.41
In 0.0000 0.5000 0.5000  4 In 3.39, 4 Ba 3.41, 4 Al 3.41
In 0.5000 0.0000 0.5000  4 In 3.39, 4 Ba 3.41, 4 Al 3.41

Summary:
Formation energy, eV/atom: -0.11
Total moment, μB per formula unit: 0.0

=====

Record 2
ZnCd | meta-GGA SCAN | PBEsol geometry

Unit cell a=5.9286 b=4.3696 c=5.5252 alpha=90.00 beta=90.00 gamma=90.00
Closest atoms and distances in Å follow each position.
Atoms (fractional coordinates):
Zn 0.0476 0.2500 0.1257  2 Zn 2.65, 7 Cd 2.79-2.91
Zn 0.4524 0.7500 0.6257  2 Zn 2.65, 7 Cd 2.79-2.91
Zn 0.5476 0.2500 0.3743  2 Zn 2.65, 7 Cd 2.79-2.91
Zn 0.9524 0.7500 0.8743  2 Zn 2.65, 7 Cd 2.79-2.91
Cd 0.1287 0.2500 0.6230  7 Zn 2.79-2.91, 2 Cd 2.99
Cd 0.3713 0.7500 0.1230  7 Zn 2.79-2.91, 2 Cd 2.99
Cd 0.6287 0.2500 0.8770  7 Zn 2.79-2.91, 2 Cd 2.99
Cd 0.8713 0.7500 0.3770  7 Zn 2.79-2.91, 2 Cd 2.99

Summary:
Formation energy, eV/atom: 0.09
Total moment, μB per formula unit: 0.0

=====

Record 3
BaZr2Cd | meta-GGA SCAN | PBEsol geometry

Unit cell a=3.2157 b=5.4267 c=6.0797 alpha=90.00 beta=97.81 gamma=90.00
Closest atoms and distances in Å follow each position.
Atoms (fractional coordinates):
Ba 0.0000 0.0000 0.0000  2 Ba 3.22, 2 Cd 3.24, 4 Zr 3.46
Zr 0.3083 0.5000 0.7081  4 Zr 2.96-3.22, 2 Cd 3.09
Zr 0.6917 0.5000 0.2919  4 Zr 2.96-3.22, 2 Cd 3.09
Cd 0.5000 0.0000 0.5000  4 Zr 3.09, 2 Cd 3.22, 2 Ba 3.24

Summary:
Formation energy, eV/atom: 0.37
Total moment, μB per formula unit: 0.0

=====

Record 4
In2BrCl | meta-GGA SCAN | PBEsol geometry

Unit cell a=4.2825 b=4.2825 c=6.5735 alpha=90.00 beta=90.00 gamma=90.00
Closest atoms and distances in Å follow each position.
Atoms (fractional coordinates):
In 0.0000 0.0000 0.0000  1 Br 2.93, 4 Cl 3.13
In 0.5000 0.5000 0.4363  1 Cl 2.90, 4 Br 3.12
Br 0.0000 0.0000 0.5537  5 In 2.93-3.12
Cl 0.5000 0.5000 0.8774  5 In 2.90-3.13

Summary:
Relative energy among the computed polymorphs, meV/atom: 21
ΔE_f (raw), eV/atom: -0.760
Total moment, μB per formula unit: 0.0

=====

Record 5
LiSnN2O | meta-GGA SCAN | PBEsol geometry

Unit cell a=4.1928 b=4.1928 c=4.0672 alpha=90.00 beta=90.00 gamma=90.00
Closest atoms and distances in Å follow each position.
Atoms (fractional coordinates):
Li 0.0000 0.0000 0.0000  8 N 2.92, 4 O 2.96
Sn 0.5000 0.5000 0.5000  2 O 2.03, 4 N 2.10
N 0.0000 0.5000 0.5000  2 Sn 2.10
N 0.5000 0.0000 0.5000  2 Sn 2.10
O 0.5000 0.5000 0.0000  2 Sn 2.03

Summary:
ΔE_f (raw), eV/atom: 0.398
Total moment, μB per formula unit: 3.0

=====

Record 6
TlCr3Br | meta-GGA SCAN | PBEsol geometry

Unit cell a=5.1476 b=5.1476 c=5.1476 alpha=90.00 beta=90.00 gamma=90.00
Closest atoms and distances in Å follow each position.
Atoms (fractional coordinates):
Tl 0.0000 0.0000 0.0000  6 Cr 2.57
Cr 0.0000 0.0000 0.5000  2 Tl 2.57
Cr 0.0000 0.5000 0.0000  2 Tl 2.57
Cr 0.5000 0.0000 0.0000  2 Tl 2.57
Br 0.5000 0.5000 0.5000  12 Cr 3.64

Summary:
ΔE_f (raw), eV/atom: 0.914
Total moment, μB per formula unit: 13.3

=====

Record 7
CrCuMo2 | meta-GGA SCAN | PBEsol geometry

Unit cell a=2.5054 b=4.0475 c=5.3092 alpha=90.00 beta=90.00 gamma=90.00
Closest atoms and distances in Å follow each position.
Atoms (fractional coordinates):
Cr 0.0000 0.0000 0.0000  2 Cr 2.51, 2 Cu 2.65, 8 Mo 2.72
Cu 0.0000 0.0000 0.5000  2 Cu 2.51, 2 Cr 2.65, 8 Mo 2.73
Mo 0.5000 0.5000 0.2479  4 Mo 2.51-2.68, 4 Cr 2.72, 4 Cu 2.73
Mo 0.5000 0.5000 0.7521  4 Mo 2.51-2.68, 4 Cr 2.72, 4 Cu 2.73

Summary:
Relative energy among the computed polymorphs, meV/atom: 55
Formation energy, eV/atom: 0.33
Total moment, μB per formula unit: 0.0

=====

Record 8
BeAlNi6 | meta-GGA SCAN | PBEsol geometry

Unit cell a=5.9842 b=5.9842 c=9.7945 alpha=90.00 beta=90.00 gamma=110.00
Closest atoms and distances in Å follow each position.
Atoms (fractional coordinates):
Be 0.0000 0.0000 0.2462  12 Ni 2.39-2.49
Be 0.0000 0.0000 0.7538  12 Ni 2.39-2.49
Be 0.2546 0.7454 0.0000  12 Ni 2.38-2.50
Be 0.7454 0.2546 0.0000  12 Ni 2.38-2.50
Al 0.2546 0.7454 0.5000  12 Ni 2.41-2.52
Al 0.5000 0.5000 0.2483  12 Ni 2.43-2.48
Al 0.5000 0.5000 0.7517  12 Ni 2.43-2.48
Al 0.7454 0.2546 0.5000  12 Ni 2.41-2.52
Ni 0.0000 0.0000 0.0000  8 Ni 2.40, 4 Be 2.41-2.50
Ni 0.0000 0.0000 0.5000  8 Ni 2.41, 2 Be 2.49, 2 Al 2.50
Ni 0.1174 0.3704 0.1214  8 Ni 2.38-2.48, 3 Be 2.41-2.42, 1 Al 2.48
Ni 0.1174 0.3704 0.8786  8 Ni 2.38-2.48, 3 Be 2.41-2.42, 1 Al 2.48
Ni 0.1190 0.3658 0.3710  1 Be 2.39, 8 Ni 2.41-2.53, 3 Al 2.45-2.48
Ni 0.1190 0.3658 0.6290  1 Be 2.39, 8 Ni 2.41-2.53, 3 Al 2.45-2.48
Ni 0.2494 0.7506 0.2427  2 Be 2.38-2.45, 8 Ni 2.38-2.50, 2 Al 2.46-2.52
Ni 0.2494 0.7506 0.7573  2 Be 2.38-2.45, 8 Ni 2.38-2.50, 2 Al 2.46-2.52
Ni 0.3658 0.1190 0.3710  1 Be 2.39, 8 Ni 2.41-2.53, 3 Al 2.45-2.48
Ni 0.3658 0.1190 0.6290  1 Be 2.39, 8 Ni 2.41-2.53, 3 Al 2.45-2.48
Ni 0.3704 0.1174 0.1214  8 Ni 2.38-2.48, 3 Be 2.41-2.42, 1 Al 2.48
Ni 0.3704 0.1174 0.8786  8 Ni 2.38-2.48, 3 Be 2.41-2.42, 1 Al 2.48
Ni 0.5000 0.5000 0.0000  2 Be 2.41, 2 Al 2.43, 8 Ni 2.46
Ni 0.5000 0.5000 0.5000  4 Al 2.41-2.47, 8 Ni 2.49
Ni 0.6296 0.8826 0.1214  8 Ni 2.38-2.48, 3 Be 2.41-2.42, 1 Al 2.48
Ni 0.6296 0.8826 0.8786  8 Ni 2.38-2.48, 3 Be 2.41-2.42, 1 Al 2.48
Ni 0.6342 0.8810 0.3710  1 Be 2.39, 8 Ni 2.41-2.53, 3 Al 2.45-2.48
Ni 0.6342 0.8810 0.6290  1 Be 2.39, 8 Ni 2.41-2.53, 3 Al 2.45-2.48
Ni 0.7506 0.2494 0.2427  2 Be 2.38-2.45, 8 Ni 2.38-2.50, 2 Al 2.46-2.52
Ni 0.7506 0.2494 0.7573  2 Be 2.38-2.45, 8 Ni 2.38-2.50, 2 Al 2.46-2.52
Ni 0.8810 0.6342 0.3710  1 Be 2.39, 8 Ni 2.41-2.53, 3 Al 2.45-2.48
Ni 0.8810 0.6342 0.6290  1 Be 2.39, 8 Ni 2.41-2.53, 3 Al 2.45-2.48
Ni 0.8826 0.6296 0.1214  8 Ni 2.38-2.48, 3 Be 2.41-2.42, 1 Al 2.48
Ni 0.8826 0.6296 0.8786  8 Ni 2.38-2.48, 3 Be 2.41-2.42, 1 Al 2.48

Summary:
Formation energy, eV/atom: -0.34
Total moment, μB per formula unit: 2.4

=====

Record 9
ZnCd3 | meta-GGA SCAN | PBEsol geometry

Unit cell a=5.8935 b=8.5309 c=3.0808 alpha=90.00 beta=90.00 gamma=90.00
Closest atoms and distances in Å follow each position.
Atoms (fractional coordinates):
Zn 0.0000 0.0000 0.0000  10 Cd 2.95-3.02, 2 Zn 3.08
Zn 0.5000 0.5000 0.0000  10 Cd 2.95-3.02, 2 Zn 3.08
Cd 0.0000 0.5000 0.0000  2 Zn 2.95, 10 Cd 3.02-3.08
Cd 0.2500 0.2500 0.5000  8 Cd 2.95-3.08, 4 Zn 3.02
Cd 0.2500 0.7500 0.5000  8 Cd 2.95-3.08, 4 Zn 3.02
Cd 0.5000 0.0000 0.0000  2 Zn 2.95, 10 Cd 3.02-3.08
Cd 0.7500 0.2500 0.5000  8 Cd 2.95-3.08, 4 Zn 3.02
Cd 0.7500 0.7500 0.5000  8 Cd 2.95-3.08, 4 Zn 3.02

Summary:
Formation energy, eV/atom: 0.09
Total moment, μB per formula unit: 0.0

=====

Record 10
La2MgZn | meta-GGA SCAN | PBEsol geometry

Unit cell a=3.7722 b=3.7722 c=7.6862 alpha=90.00 beta=90.00 gamma=90.00
Closest atoms and distances in Å follow each position.
Atoms (fractional coordinates):
La 0.0000 0.0000 0.2245  4 Zn 3.18, 4 Mg 3.41, 1 La 3.45
La 0.0000 0.0000 0.7755  4 Zn 3.18, 4 Mg 3.41, 1 La 3.45
Mg 0.5000 0.5000 0.5000  8 La 3.41, 4 Mg 3.77
Zn 0.5000 0.5000 0.0000  8 La 3.18

Summary:
Relative energy among the computed polymorphs, meV/atom: 0
Formation energy, eV/atom: -0.26
Total moment, μB per formula unit: 0.0

=====

Record 11
SrSiAg3 | meta-GGA SCAN | PBEsol geometry

Unit cell a=4.8259 b=4.8259 c=4.8259 alpha=90.00 beta=90.00 gamma=90.00
Closest atoms and distances in Å follow each position.
Atoms (fractional coordinates):
Sr 0.0000 0.0000 0.0000  12 Ag 3.41
Si 0.5000 0.5000 0.5000  6 Ag 2.41
Ag 0.0000 0.5000 0.5000  2 Si 2.41
Ag 0.5000 0.0000 0.5000  2 Si 2.41
Ag 0.5000 0.5000 0.0000  2 Si 2.41

Summary:
ΔE_f (raw), eV/atom: -0.095
Total moment, μB per formula unit: 0.0

=====

Record 12
HfSc2Si2 | meta-GGA SCAN | PBEsol geometry

Unit cell a=7.0091 b=7.0091 c=3.7149 alpha=90.00 beta=90.00 gamma=90.00
Closest atoms and distances in Å follow each position.
Atoms (fractional coordinates):
Hf 0.0000 0.0000 0.0000  4 Si 2.77
Hf 0.5000 0.5000 0.0000  4 Si 2.77
Sc 0.1745 0.3255 0.5000  6 Si 2.73-2.82
Sc 0.3255 0.8255 0.5000  6 Si 2.73-2.82
Sc 0.6745 0.1745 0.5000  6 Si 2.73-2.82
Sc 0.8255 0.6745 0.5000  6 Si 2.73-2.82
Si 0.1243 0.6243 0.0000  1 Si 2.46, 2 Sc 2.73
Si 0.3757 0.1243 0.0000  1 Si 2.46, 2 Sc 2.73
Si 0.6243 0.8757 0.0000  1 Si 2.46, 2 Sc 2.73
Si 0.8757 0.3757 0.0000  1 Si 2.46, 2 Sc 2.73

Summary:
ΔE_f (raw), eV/atom: -0.706
Total moment, μB per formula unit: 0.0